[1]
! PBE PuScBe, relaxed; values from VASP
&SYSTEM
  ibrav = 0, nat = 3, ntyp = 3
/
ATOMIC_SPECIES
Be 9.01 Be.upf
Pu 244.00 Pu.upf
Sc 44.96 Sc.upf
CELL_PARAMETERS angstrom
0.000 3.093 3.093
3.093 0.000 3.093
3.093 3.093 0.000
ATOMIC_POSITIONS crystal
Be 0.250 0.250 0.250
Pu 0.000 0.000 0.000
Sc 0.750 0.750 0.750
! crystal system = cubic
! energy above the most stable polymorph in this dataset = 0.543 eV per atom
! space group = No. 216

***

[2]
! PBE SmPuBe, relaxed; values from VASP
&SYSTEM
  ibrav = 0, nat = 3, ntyp = 3
/
ATOMIC_SPECIES
Be 9.01 Be.upf
Pu 244.00 Pu.upf
Sm 150.36 Sm.upf
CELL_PARAMETERS angstrom
-0.867 0.041 4.480
0.454 3.869 2.376
-3.699 2.149 1.588
ATOMIC_POSITIONS crystal
Be 0.000 0.000 0.000
Pu 0.250 0.250 0.250
Sm 0.750 0.750 0.750
! crystal system = cubic
! energy above the most stable polymorph in this dataset = 0.000 eV per atom
! space group = No. 216

***

[3]
! PBE PuBeSn, relaxed; values from VASP
&SYSTEM
  ibrav = 0, nat = 3, ntyp = 3
/
ATOMIC_SPECIES
Be 9.01 Be.upf
Pu 244.00 Pu.upf
Sn 118.71 Sn.upf
CELL_PARAMETERS angstrom
0.000 3.183 3.183
3.183 0.000 3.183
3.183 3.183 0.000
ATOMIC_POSITIONS crystal
Be 0.000 0.000 0.000
Pu 0.250 0.250 0.250
Sn 0.750 0.750 0.750
! crystal system = cubic
! E_tot = -22.293 eV for the cell shown
! space group = No. 216